Record 1
VASP calculation (GGA-PBE) on SrTlTe2 after structural relaxation.

Structure (POSCAR):
```
SrTlTe2
1.0
6.862 0.026 0.000
3.599 5.843 0.000
-5.231 -2.935 3.335
Sr Te Tl
1 2 1
Cartesian
3.431 0.013 1.667
0.000 0.000 0.000
1.800 2.921 1.667
5.231 2.935 0.000
```

Computed properties:
Magnetic moment = 0.0 Bohr magnetons per cell
SG = I-4m2 (119)
Electronic total energy = -3.35 eV per atom
Formation energy (no corrections) = -763 meV/atom

***

Record 2
VASP calculation (GGA-PBE) on Sr2IrPt after structural relaxation.

Structure (POSCAR):
```
Sr2IrPt
1.0
7.386 0.012 0.000
4.633 5.752 0.000
-6.040 -2.819 3.182
Pt Sr Ir
1 2 1
Cartesian
3.362 3.416 1.591
3.771 0.083 1.591
11.963 5.737 0.000
4.912 2.356 0.000
```

Computed properties:
Magnetic moment = 0.0 Bohr magnetons per cell
SG = Imm2 (44)
Electronic total energy = -4.82 eV per atom

***

Record 3
VASP calculation (GGA-PBE) on BaNiOs after structural relaxation.

Structure (POSCAR):
```
BaNiOs
1.0
-5.391 -1.964 -2.216
-1.891 -5.299 -2.484
2.603 3.276 4.508
Ba Ni Os
1 1 1
Cartesian
-7.260 -7.241 -4.686
-5.260 -5.246 -3.395
-2.044 -2.039 -1.319
```

Computed properties:
Magnetic moment = 0.2 Bohr magnetons per cell
SG = Imm2 (44)
Energy above the most stable polymorph in this dataset = 153.0 meV per atom
Electronic total energy = -5.66 eV per atom

***

Record 4
VASP calculation (GGA-PBE) on Ho8In3 after structural relaxation.

Structure (POSCAR):
```
Ho8In3
1.0
7.115 0.006 0.006
0.187 7.112 0.006
0.187 0.182 7.110
Ho In
8 3
Cartesian
5.060 6.105 0.874
1.153 5.032 6.081
6.231 0.995 4.880
2.428 1.195 6.247
1.257 6.305 2.241
4.849 4.727 4.612
6.335 2.268 1.040
2.639 2.573 2.510
3.651 3.559 0.006
0.187 3.647 3.558
3.651 0.094 3.558
```

Computed properties:
Magnetic moment = 0.0 Bohr magnetons per cell
SG = R-3 (148)
Electronic total energy = -3.99 eV per atom